# 1
An optimized crystal structure of Ce2PdAu2, computed with PBE-GGA.

Unit cell a=3.710 b=4.223 c=15.014 alpha=90.00 beta=90.00 gamma=90.00
Space group Amm2 (No. 38)
Symmetry-distinct sites (fractional):
Ce 0.000 0.000 0.000
Ce 0.000 0.000 0.241
Pd 0.500 0.000 0.439
Au 0.500 0.000 0.625
Au 0.500 0.000 0.819

Results
- Theoretical density: 11.02 g cm⁻³
- Calculated formation energy: -0.673 eV/atom

# 2
An optimized crystal structure of CrCdMo, computed with PBE-GGA.

Unit cell a=2.9801 b=2.9801 c=6.6236 alpha=90.00 beta=90.00 gamma=120.00
Space group P3m1 (No. 156)
Symmetry-distinct sites (fractional):
Cr 0.0000 0.0000 0.0000
Cd 0.6667 0.3333 0.6370
Mo 0.3333 0.6667 0.2489

Results
- Theoretical density: 8.49 g cm⁻³
- Calculated formation energy: 0.451 eV/atom
- Excess energy over the best structure of this formula in the dataset: 69 meV/atom

# 3
An optimized crystal structure of Pr8NdSm2, computed with PBE-GGA.

Unit cell a=17.170 b=6.897 c=6.831 alpha=90.00 beta=100.14 gamma=90.00
Space group C2/m (No. 12)
Symmetry-distinct sites (fractional):
Pr 0.088 0.238 0.409
Pr 0.093 0.000 0.915
Pr 0.245 0.500 0.318
Nd 0.000 0.500 0.000
Sm 0.199 0.500 0.809

Results
- Theoretical density: 6.56 g cm⁻³
- Calculated formation energy: 0.152 eV/atom

# 4
An optimized crystal structure of LiTiPdW2, computed with PBE-GGA.

Unit cell a=4.527 b=4.527 c=4.414 alpha=90.00 beta=90.00 gamma=90.00
Space group P4/mmm (No. 123)
Symmetry-distinct sites (fractional):
Li 0.000 0.000 0.000
Ti 0.000 0.000 0.500
Pd 0.500 0.500 0.000
W 0.000 0.500 0.500

Results
- Theoretical density: 9.71 g cm⁻³
- Calculated formation energy: 1.560 eV/atom

# 5
An optimized crystal structure of Ac4Zn2Ni, computed with PBE-GGA.

Unit cell a=16.815 b=4.239 c=6.674 alpha=90.00 beta=106.10 gamma=90.00
Space group C2/m (No. 12)
Symmetry-distinct sites (fractional):
Ac 0.075 0.000 0.293
Ac 0.152 0.500 0.835
Zn 0.238 0.500 0.372
Ni 0.000 0.500 0.000

Results
- Theoretical density: 7.97 g cm⁻³
- Calculated formation energy: -0.155 eV/atom

# 6
An optimized crystal structure of LaBS3, computed with PBE-GGA.

Unit cell a=5.560 b=5.560 c=5.560 alpha=90.00 beta=90.00 gamma=90.00
Space group Pm-3m (No. 221)
Symmetry-distinct sites (fractional):
La 0.000 0.000 0.000
B 0.500 0.500 0.500
S 0.000 0.000 0.500

Results
- Formation energy from raw total energies: 0.69 eV/atom
- Theoretical density: 2.38 g cm⁻³
- Excess energy over the best structure of this formula in the dataset: 1978 meV/atom

# 7
An optimized crystal structure of FeSi2Ir, computed with PBE-GGA.

Unit cell a=5.984 b=5.984 c=5.984 alpha=90.00 beta=90.00 gamma=90.00
Space group F-43m (No. 216)
Symmetry-distinct sites (fractional):
Fe 0.000 0.000 0.000
Si 0.000 0.000 0.500
Si 0.250 0.250 0.750
Ir 0.250 0.250 0.250

Results
- Formation energy from raw total energies: 0.10 eV/atom
- Theoretical density: 9.43 g cm⁻³

# 8
An optimized crystal structure of CsCa2ErBr8, computed with PBE-GGA.

Unit cell a=6.808 b=7.066 c=9.365 alpha=89.93 beta=89.89 gamma=88.82
Space group P-1 (No. 2)
Symmetry-distinct sites (fractional):
Cs 0.000 0.000 0.000
Ca 0.500 0.500 0.248
Er 0.000 0.000 0.500
Br 0.245 0.832 0.702
Br 0.246 0.833 0.298
Br 0.255 0.322 0.500
Br 0.269 0.401 0.000

Results
- Formation energy from raw total energies: -1.88 eV/atom
- Theoretical density: 3.76 g cm⁻³